The following is a DFT calculation (PBE) of crystalline Ce12TlIr6 at its relaxed geometry.

Symmetry ... No. 166
DOS(E_F) ... 49.702 states/eV per cell
Theoretical density ... 9.9 g cm⁻³
Magnetic moment ... 9.9 μB/f.u.
E_form ... -381 meV/atom

Cell and atoms, written as POSCAR:
```
Ce12TlIr6
1.0
8.4940 -0.2101 -0.2959
-2.3091 8.1769 -0.2959
-2.3091 -2.9743 7.6225
Ce Ir Tl
12 6 1
Direct
0.8808 0.1192 0.5000
0.5809 0.8450 0.5809
0.8450 0.5809 0.5809
0.4191 0.1550 0.4191
0.1192 0.5000 0.8808
0.5000 0.8808 0.1192
0.5809 0.5809 0.8450
0.1550 0.4191 0.4191
0.8808 0.5000 0.1192
0.1192 0.8808 0.5000
0.4191 0.4191 0.1550
0.5000 0.1192 0.8808
0.2687 0.6899 0.2687
0.6899 0.2687 0.2687
0.3101 0.7313 0.7313
0.7313 0.3101 0.7313
0.7313 0.7313 0.3101
0.2687 0.2687 0.6899
0.0000 0.0000 0.0000
```